1.
Here is a relaxed structure of AcPuIn from the Alexandria database. Energies are from PBE-GGA.

## Properties
mass density	9.92	g/cm³
D(E_F)	9.27	states/eV/f.u.
formation energy from the elements	-0.06	eV/atom
size of the total moment	6.547	μB/cell
total DFT energy (no corrections)	-21.37	eV for the cell shown
polymorph energy (0 for the lowest one)	0	meV per atom

Cell lengths 3.9896, 3.9896, 6.7743 Å; angles 107.13, 107.13, 90.00 degrees
Last column: nearest neighbours and their distance in Å.
Sites, in units of the cell vectors:
Ac  0.6247  0.6247  0.2495  4 In 3.52, 5 Pu 3.71-3.75
In  0.2960  0.2960  0.5920  4 Pu 3.26, 4 Ac 3.52
Pu  0.9293  0.9293  0.8585  4 In 3.26

---

2.
Here is a relaxed structure of Ac5PuIn6 from the Alexandria database. Energies are from PBE-GGA.

## Properties
mass density	8.65	g/cm³
D(E_F)	19.49	states/eV/f.u.
formation energy from the elements	-0.35	eV/atom
size of the total moment	5.836	μB/cell
total DFT energy (no corrections)	-55.45	eV for the cell shown

Cell lengths 5.9496, 7.6453, 9.6456 Å; angles 66.65, 80.90, 90.00 degrees
Last column: nearest neighbours and their distance in Å.
Sites, in units of the cell vectors:
Ac  0.7021  0.1755  0.6490  8 In 3.45-3.56, 2 Ac 3.83, 1 Pu 3.83
Ac  0.3282  0.3384  0.3233  8 In 3.53-3.70, 4 Ac 3.73-3.93
Ac  0.0000  0.5000  0.0000  8 In 3.50-3.67, 2 Ac 3.73, 2 Pu 3.82
Ac  0.6718  0.6616  0.6767  8 In 3.53-3.70, 4 Ac 3.73-3.93
Ac  0.2979  0.8245  0.3510  8 In 3.45-3.56, 2 Ac 3.83, 1 Pu 3.83
In  0.8120  0.6104  0.3164  1 Pu 3.34, 7 Ac 3.45-3.70, 2 In 3.54-3.62
In  0.8120  0.0734  0.3164  1 Pu 3.34, 7 Ac 3.45-3.70, 2 In 3.54-3.62
In  0.5000  0.7815  0.0000  3 In 3.34-3.62, 2 Pu 3.41, 6 Ac 3.55-3.67
In  0.5000  0.2185  0.0000  3 In 3.34-3.62, 2 Pu 3.41, 6 Ac 3.55-3.67
In  0.1880  0.9266  0.6836  1 Pu 3.34, 7 Ac 3.45-3.70, 2 In 3.54-3.62
In  0.1880  0.3896  0.6836  1 Pu 3.34, 7 Ac 3.45-3.70, 2 In 3.54-3.62
Pu  0.0000  0.0000  0.0000  8 In 3.34-3.41

---

3.
Here is a relaxed structure of AcPuIn2 from the Alexandria database. Energies are from PBE-GGA.

## Properties
mass density	9.59	g/cm³
D(E_F)	13.44	states/eV/f.u.
formation energy from the elements	-0.21	eV/atom
size of the total moment	6.116	μB/cell
total DFT energy (no corrections)	-24.77	eV for the cell shown

Cell lengths 4.7275, 5.0665, 5.0665 Å; angles 90.00, 90.00, 90.00 degrees
Last column: nearest neighbours and their distance in Å.
Sites, in units of the cell vectors:
Ac  0.5000  0.0000  0.0000  8 In 3.46, 4 Pu 3.58
In  0.0000  0.0000  0.5000  4 Pu 3.46, 4 Ac 3.46, 4 In 3.58
In  0.0000  0.5000  0.0000  4 Pu 3.46, 4 Ac 3.46, 4 In 3.58
Pu  0.5000  0.5000  0.5000  8 In 3.46, 4 Ac 3.58

---

4.
Here is a relaxed structure of AcPuIn2 from the Alexandria database. Energies are from PBE-GGA.

## Properties
mass density	9.70	g/cm³
D(E_F)	9.34	states/eV/f.u.
formation energy from the elements	-0.23	eV/atom
size of the total moment	5.938	μB/cell
total DFT energy (no corrections)	-24.83	eV for the cell shown

Cell lengths 3.5468, 3.5468, 9.5336 Å; angles 90.00, 90.00, 90.00 degrees
Last column: nearest neighbours and their distance in Å.
Sites, in units of the cell vectors:
Ac  0.5000  0.5000  0.5000  4 Ac 3.55, 8 In 3.57
In  0.0000  0.0000  0.7660  4 Pu 3.36, 4 In 3.55, 4 Ac 3.57
In  0.0000  0.0000  0.2340  4 Pu 3.36, 4 In 3.55, 4 Ac 3.57
Pu  0.5000  0.5000  0.0000  8 In 3.36, 4 Pu 3.55

---

5.
Here is a relaxed structure of Ac6PuIn5 from the Alexandria database. Energies are from PBE-GGA.

## Properties
mass density	8.71	g/cm³
D(E_F)	18.43	states/eV/f.u.
formation energy from the elements	-0.30	eV/atom
size of the total moment	7.503	μB/cell
total DFT energy (no corrections)	-56.25	eV for the cell shown

Cell lengths 5.7989, 8.1953, 9.2086 Å; angles 90.00, 108.28, 90.00 degrees
Last column: nearest neighbours and their distance in Å.
Sites, in units of the cell vectors:
Ac  0.8318  0.7515  0.6636  7 In 3.50-3.69, 1 Pu 3.58
Ac  0.8318  0.2485  0.6636  7 In 3.50-3.69, 1 Pu 3.58
Ac  0.5000  0.2606  0.0000  6 In 3.47-3.56, 2 Pu 3.60
Ac  0.5000  0.7394  0.0000  6 In 3.47-3.56, 2 Pu 3.60
Ac  0.1682  0.7515  0.3364  7 In 3.50-3.69, 1 Pu 3.58
Ac  0.1682  0.2485  0.3364  7 In 3.50-3.69, 1 Pu 3.58
In  0.6697  0.5000  0.3397  8 Ac 3.50-3.56
In  0.3436  0.0000  0.6878  8 Ac 3.47-3.69
In  0.0000  0.5000  0.0000  8 Ac 3.50-3.59
In  0.6564  0.0000  0.3122  8 Ac 3.47-3.69
In  0.3303  0.5000  0.6603  8 Ac 3.50-3.56
Pu  0.0000  0.0000  0.0000  8 Ac 3.58-3.60, 4 In 3.98-3.99

---

6.
Here is a relaxed structure of AcPuIn from the Alexandria database. Energies are from PBE-GGA.

## Properties
mass density	10.93	g/cm³
D(E_F)	5.31	states/eV/f.u.
formation energy from the elements	0.01	eV/atom
size of the total moment	0.000	μB/cell
total DFT energy (no corrections)	-42.29	eV for the cell shown
polymorph energy (0 for the lowest one)	75	meV per atom

Cell lengths 3.6436, 5.7765, 14.3097 Å; angles 101.11, 104.32, 37.58 degrees
Last column: nearest neighbours and their distance in Å.
Sites, in units of the cell vectors:
In  0.4276  0.5776  0.2878  2 In 2.97
In  0.2853  0.0726  0.1456  2 In 2.97
Ac  0.0955  0.5756  0.9564  2 In 3.44, 3 Pu 3.57-3.78, 4 Ac 3.64
Ac  0.6172  0.0752  0.4768  2 In 3.44, 3 Pu 3.57-3.78, 4 Ac 3.64
Pu  0.8162  0.5154  0.6769  3 Pu 2.44-2.58
Pu  0.8960  0.1359  0.7562  3 Pu 2.44-2.58

---

7.
Here is a relaxed structure of AcPuIn from the Alexandria database. Energies are from PBE-GGA.

## Properties
mass density	10.11	g/cm³
D(E_F)	8.96	states/eV/f.u.
formation energy from the elements	-0.02	eV/atom
size of the total moment	5.960	μB/cell
total DFT energy (no corrections)	-21.24	eV for the cell shown
polymorph energy (0 for the lowest one)	44	meV per atom

Cell lengths 3.6626, 5.5073, 5.5073 Å; angles 120.00, 90.00, 90.00 degrees
Last column: nearest neighbours and their distance in Å.
Sites, in units of the cell vectors:
Ac  0.6721  0.3333  0.6667  6 In 3.51-3.85, 6 Pu 3.53-3.82, 2 Ac 3.66
In  0.0773  0.0000  0.0000  3 Pu 3.24, 3 Ac 3.51
Pu  0.2506  0.6667  0.3333  3 In 3.24, 3 Ac 3.53

---

8.
Here is a relaxed structure of Ac2PuIn from the Alexandria database. Energies are from PBE-GGA.

## Properties
mass density	9.39	g/cm³
D(E_F)	9.49	states/eV/f.u.
formation energy from the elements	-0.04	eV/atom
size of the total moment	7.141	μB/cell
total DFT energy (no corrections)	-25.44	eV for the cell shown
polymorph energy (0 for the lowest one)	8	meV per atom

Cell lengths 3.9731, 3.9731, 9.1072 Å; angles 90.00, 90.00, 90.00 degrees
Last column: nearest neighbours and their distance in Å.
Sites, in units of the cell vectors:
Ac  0.0000  0.0000  0.7662  4 In 3.52, 4 Pu 3.71
Ac  0.0000  0.0000  0.2338  4 In 3.52, 4 Pu 3.71
In  0.5000  0.5000  0.0000  8 Ac 3.52
Pu  0.5000  0.5000  0.5000  8 Ac 3.71, 4 Pu 3.97

---

9.
Here is a relaxed structure of Ac3PuIn12 from the Alexandria database. Energies are from PBE-GGA.

## Properties
mass density	8.34	g/cm³
D(E_F)	18.84	states/eV/f.u.
formation energy from the elements	-0.34	eV/atom
size of the total moment	5.682	μB/cell
total DFT energy (no corrections)	-65.03	eV for the cell shown

Cell lengths 4.8630, 4.8630, 19.3813 Å; angles 90.00, 90.00, 90.00 degrees
Last column: nearest neighbours and their distance in Å.
Sites, in units of the cell vectors:
Ac  0.0000  0.0000  0.2422  12 In 3.44-3.49
Ac  0.0000  0.0000  0.5000  12 In 3.44-3.48
Ac  0.0000  0.0000  0.7578  12 In 3.44-3.49
Pu  0.0000  0.0000  0.0000  12 In 3.29-3.44
In  0.5000  0.5000  0.0000  8 In 3.29, 4 Pu 3.44
In  0.5000  0.5000  0.2492  8 In 3.39-3.57, 4 Ac 3.44
In  0.5000  0.5000  0.5000  4 Ac 3.44, 8 In 3.48
In  0.5000  0.5000  0.7508  8 In 3.39-3.57, 4 Ac 3.44
In  0.5000  0.0000  0.1142  8 In 3.29-3.57, 2 Pu 3.29, 2 Ac 3.47
In  0.5000  0.0000  0.3714  8 In 3.39-3.48, 4 Ac 3.48-3.49
In  0.5000  0.0000  0.6286  8 In 3.39-3.48, 4 Ac 3.48-3.49
In  0.5000  0.0000  0.8858  8 In 3.29-3.57, 2 Pu 3.29, 2 Ac 3.47
In  0.0000  0.5000  0.1142  8 In 3.29-3.57, 2 Pu 3.29, 2 Ac 3.47
In  0.0000  0.5000  0.3714  8 In 3.39-3.48, 4 Ac 3.48-3.49
In  0.0000  0.5000  0.6286  8 In 3.39-3.48, 4 Ac 3.48-3.49
In  0.0000  0.5000  0.8858  8 In 3.29-3.57, 2 Pu 3.29, 2 Ac 3.47

---

10.
Here is a relaxed structure of AcPuIn4 from the Alexandria database. Energies are from PBE-GGA.

## Properties
mass density	9.25	g/cm³
D(E_F)	19.27	states/eV/f.u.
formation energy from the elements	-0.26	eV/atom
size of the total moment	6.302	μB/cell
total DFT energy (no corrections)	-30.95	eV for the cell shown

Cell lengths 6.1804, 6.1804, 6.1804 Å; angles 60.00, 60.00, 60.00 degrees
Last column: nearest neighbours and their distance in Å.
Sites, in units of the cell vectors:
Ac  0.2500  0.2500  0.2500  12 In 3.62, 4 Pu 3.78
In  0.6254  0.6254  0.1237  6 In 3.08-3.10
In  0.6254  0.1237  0.6254  6 In 3.08-3.10
In  0.6254  0.6254  0.6254  6 In 3.08-3.10
In  0.1237  0.6254  0.6254  6 In 3.08-3.10
Pu  0.0000  0.0000  0.0000  12 In 3.62, 4 Ac 3.78

---

11.
Here is a relaxed structure of Ac2PuIn from the Alexandria database. Energies are from PBE-GGA.

## Properties
mass density	9.68	g/cm³
D(E_F)	16.77	states/eV/f.u.
formation energy from the elements	0.00	eV/atom
size of the total moment	6.694	μB/cell
total DFT energy (no corrections)	-25.28	eV for the cell shown
polymorph energy (0 for the lowest one)	50	meV per atom

Cell lengths 5.8196, 5.8196, 5.8196 Å; angles 60.00, 60.00, 60.00 degrees
Last column: nearest neighbours and their distance in Å.
Sites, in units of the cell vectors:
Ac  0.2500  0.2500  0.2500  4 In 3.56, 4 Pu 3.56
Ac  0.7500  0.7500  0.7500  4 In 3.56, 4 Pu 3.56
In  0.0000  0.0000  0.0000  8 Ac 3.56
Pu  0.5000  0.5000  0.5000  8 Ac 3.56

---

12.
Here is a relaxed structure of AcPu2In from the Alexandria database. Energies are from PBE-GGA.

## Properties
mass density	11.08	g/cm³
D(E_F)	15.12	states/eV/f.u.
formation energy from the elements	0.10	eV/atom
size of the total moment	12.807	μB/cell
total DFT energy (no corrections)	-35.12	eV for the cell shown
polymorph energy (0 for the lowest one)	100	meV per atom

Cell lengths 4.0619, 4.0619, 7.5363 Å; angles 90.00, 90.00, 90.00 degrees
Last column: nearest neighbours and their distance in Å.
Sites, in units of the cell vectors:
Ac  0.5000  0.5000  0.5000  8 Pu 3.62, 2 In 3.77
In  0.5000  0.5000  0.0000  8 Pu 3.27
Pu  0.0000  0.0000  0.7923  1 Pu 3.13, 4 In 3.27
Pu  0.0000  0.0000  0.2077  1 Pu 3.13, 4 In 3.27